# CsNbOs2O8

A geometry-optimized CsNbOs2O8 structure (GGA-PBE, Alexandria via LeMat-Bulk).

The space group is P-3m1 (No. 164) and the conventional cell measures 5.7541, 5.7541 and 8.6010 Å, with angles of 90.00, 90.00 and 120.00 degrees. The distinct sites, in fractional coordinates, are Cs at (0.0000, 0.0000, 0.0000), Nb at (0.0000, 0.0000, 0.5000), Os at (0.3333, 0.6667, 0.7254), O at (0.1657, 0.3313, 0.6342) and O at (0.3333, 0.6667, 0.9307).

For the total energy, the calculation gives -7.4305 eV per atom. For the density of states at the Fermi level, the calculation gives 7.08 states/eV per cell. Its volume is 20.55 Å³ per atom. The calculation puts the energy relative to the elements, uncorrected at -1.343 eV/atom.